[1]
{
  "formula": "CrFeTeO6",
  "functional": "PBE+U",
  "state": "optimized geometry",
  "mass_density_g_cm3": 5.77,
  "sg": "P4_2nm",
  "dft_energy_ev_per_atom": -6.352,
  "cell": [[4.572, 0.000, 0.000], [0.000, 4.572, 0.000], [0.000, 0.000, 9.123]],
  "species": ["Cr", "Cr", "Fe", "Fe", "Te", "Te", "O", "O", "O", "O", "O", "O", "O", "O", "O", "O", "O", "O"],
  "frac_coords": [[0.500, 0.500, 0.168], [0.000, 0.000, 0.668], [0.500, 0.500, 0.500], [0.000, 0.000, 0.000], [0.500, 0.500, 0.833], [0.000, 0.000, 0.333], [0.196, 0.804, 0.497], [0.804, 0.196, 0.497], [0.304, 0.304, 0.997], [0.696, 0.696, 0.997], [0.190, 0.810, 0.167], [0.810, 0.190, 0.167], [0.310, 0.310, 0.667], [0.690, 0.690, 0.667], [0.804, 0.196, 0.835], [0.196, 0.804, 0.835], [0.696, 0.696, 0.335], [0.304, 0.304, 0.335]]
}

[2]
{
  "formula": "K2PmCrO4",
  "functional": "PBE+U",
  "state": "optimized geometry",
  "mass_density_g_cm3": 4.62,
  "sg": "P2/m",
  "dft_energy_ev_per_atom": -6.398,
  "cell": [[3.397, 0.000, 0.000], [0.000, 5.796, 0.073], [0.000, -2.060, 6.172]],
  "species": ["K", "K", "Pm", "Cr", "O", "O", "O", "O"],
  "frac_coords": [[0.500, 0.000, 0.500], [0.000, 0.500, 0.500], [0.000, 0.000, 0.000], [0.500, 0.500, 0.000], [0.500, 0.258, 0.185], [0.500, 0.742, 0.815], [0.000, 0.298, 0.822], [0.000, 0.702, 0.178]]
}

Number 2 is which compound?
K2PmCrO4